1.
A plane-wave DFT calculation with PBE-GGA was carried out for a geometry-optimized PmZnSn structure.

Calculated values
Its excess energy over the best structure of this formula in the dataset is 0 meV per atom. The total energy comes out at -47.04 eV for the cell shown. The value obtained for the energy of formation is -0.578 eV/atom. For the size of the total moment, the calculation gives 0.0 μB per cell. The space group is Imm2, No. 44.

Lattice parameters (Å, degrees): 4.5026 8.4839 7.7935 90.00 90.00 90.00
Closest atoms and distances in Å follow each position.
Positions (direct):
Pm1 0.0000 0.0000 0.0000  4 Zn 3.13, 6 Sn 3.33-3.40
Pm2 0.0000 0.5000 0.0113  2 Zn 3.13, 6 Sn 3.32-3.38
Pm3 0.5000 0.0000 0.5113  2 Zn 3.13, 6 Sn 3.32-3.38
Pm4 0.5000 0.5000 0.5000  4 Zn 3.13, 6 Sn 3.33-3.40
Zn1 0.0000 0.2997 0.6745  3 Sn 2.63-2.64
Zn2 0.0000 0.7003 0.6745  3 Sn 2.63-2.64
Zn3 0.5000 0.2003 0.1745  3 Sn 2.63-2.64
Zn4 0.5000 0.7997 0.1745  3 Sn 2.63-2.64
Sn1 0.0000 0.2515 0.3401  3 Zn 2.63-2.64
Sn2 0.0000 0.7485 0.3401  3 Zn 2.63-2.64
Sn3 0.5000 0.2485 0.8401  3 Zn 2.63-2.64
Sn4 0.5000 0.7515 0.8401  3 Zn 2.63-2.64


2.
A plane-wave DFT calculation with PBE-GGA was carried out for a geometry-optimized LiMgAs2O6 structure.

Calculated values
The total energy comes out at -117.20 eV for the cell shown. For the uncorrected formation energy, the calculation gives -1.60 eV per atom. For the size of the total moment, the calculation gives 0.0 μB per cell. The space group is C2/c, No. 15.

Lattice parameters (Å, degrees): 6.8177 6.8177 5.9135 105.79 105.79 84.89
Closest atoms and distances in Å follow each position.
Positions (direct):
Li1 0.2359 0.7641 0.7500  2 O 2.02
Li2 0.7641 0.2359 0.2500  2 O 2.02
Mg1 0.0950 0.9050 0.2500  6 O 2.08-2.24
Mg2 0.9050 0.0950 0.7500  6 O 2.08-2.24
As1 0.2048 0.3944 0.2652  4 O 1.72-1.84
As2 0.3944 0.2048 0.7652  4 O 1.72-1.84
As3 0.6056 0.7952 0.2348  4 O 1.72-1.84
As4 0.7952 0.6056 0.7348  4 O 1.72-1.84
O1 0.0249 0.1999 0.1429  1 As 1.75
O2 0.0965 0.6324 0.3452  1 As 1.72
O3 0.1999 0.0249 0.6429  1 As 1.75
O4 0.3512 0.3784 0.0414  2 As 1.82-1.84
O5 0.3676 0.9035 0.1548  1 As 1.72
O6 0.3784 0.3512 0.5414  2 As 1.82-1.84
O7 0.6216 0.6488 0.4586  2 As 1.82-1.84
O8 0.6324 0.0965 0.8452  1 As 1.72
O9 0.6488 0.6216 0.9586  2 As 1.82-1.84
O10 0.8001 0.9751 0.3571  1 As 1.75
O11 0.9035 0.3676 0.6548  1 As 1.72
O12 0.9751 0.8001 0.8571  1 As 1.75


3.
A plane-wave DFT calculation with PBE-GGA was carried out for a geometry-optimized DyThAl2Zn2 structure.

Calculated values
The total energy comes out at -24.55 eV for the cell shown. The value obtained for the energy of formation is -0.415 eV/atom. For the size of the total moment, the calculation gives 0.0 μB per cell. The space group is P-3m1, No. 164.

Lattice parameters (Å, degrees): 4.4841 4.4841 7.4319 90.00 90.00 120.00
Closest atoms and distances in Å follow each position.
Positions (direct):
Dy1 0.0000 0.0000 0.0000  6 Zn 3.10, 6 Al 3.13
Th1 0.0000 0.0000 0.5000  6 Al 3.25, 6 Zn 3.28
Al1 0.3333 0.6667 0.2358  3 Zn 2.59
Al2 0.6667 0.3333 0.7642  3 Zn 2.59
Zn1 0.3333 0.6667 0.7714  3 Al 2.59
Zn2 0.6667 0.3333 0.2286  3 Al 2.59


4.
A plane-wave DFT calculation with PBE-GGA was carried out for a geometry-optimized AgPbAu2 structure.

Calculated values
The total energy comes out at -25.93 eV for the cell shown. The value obtained for the energy of formation is 0.037 eV/atom. For the size of the total moment, the calculation gives 0.0 μB per cell. The space group is C2/m, No. 12.

Lattice parameters (Å, degrees): 5.9613 7.0993 3.9856 90.00 91.02 90.00
Closest atoms and distances in Å follow each position.
Positions (direct):
Ag1 0.0000 0.0000 0.0000  2 Pb 2.98, 8 Au 3.04-3.07
Ag2 0.5000 0.5000 0.0000  2 Pb 2.98, 8 Au 3.04-3.07
Pb1 0.0000 0.5000 0.0000  2 Ag 2.98, 8 Au 3.04-3.07
Pb2 0.5000 0.0000 0.0000  2 Ag 2.98, 8 Au 3.04-3.07
Au1 0.2500 0.2500 0.5000  2 Au 2.98, 4 Pb 3.04-3.07, 4 Ag 3.04-3.07
Au2 0.2500 0.7500 0.5000  2 Au 2.98, 4 Pb 3.04-3.07, 4 Ag 3.04-3.07
Au3 0.7500 0.2500 0.5000  2 Au 2.98, 4 Pb 3.04-3.07, 4 Ag 3.04-3.07
Au4 0.7500 0.7500 0.5000  2 Au 2.98, 4 Pb 3.04-3.07, 4 Ag 3.04-3.07


5.
A plane-wave DFT calculation with PBE-GGA was carried out for a geometry-optimized Ti5N4 structure.

Calculated values
The total energy comes out at -84.39 eV for the cell shown. For the uncorrected formation energy, the calculation gives -1.29 eV per atom. For the size of the total moment, the calculation gives 0.0 μB per cell. The space group is I4/m, No. 87.

Lattice parameters (Å, degrees): 6.0281 6.0281 6.0281 93.54 93.54 151.24
Closest atoms and distances in Å follow each position.
Positions (direct):
Ti1 0.0000 0.0000 0.0000  4 N 2.00
Ti2 0.2383 0.4160 0.6543  3 N 1.97-2.20
Ti3 0.4160 0.7617 0.1777  3 N 1.97-2.20
Ti4 0.5840 0.2383 0.8223  3 N 1.97-2.20
Ti5 0.7617 0.5840 0.3457  3 N 1.97-2.20
N1 0.1054 0.2180 0.3234  4 Ti 1.97-2.20
N2 0.2180 0.8946 0.1126  4 Ti 1.97-2.20
N3 0.7820 0.1054 0.8874  4 Ti 1.97-2.20
N4 0.8946 0.7820 0.6766  4 Ti 1.97-2.20


6.
A plane-wave DFT calculation with PBE-GGA was carried out for a geometry-optimized CsBSb2I structure.

Calculated values
Its excess energy over the best structure of this formula in the dataset is 0 meV per atom. The total energy comes out at -15.62 eV for the cell shown. For the uncorrected formation energy, the calculation gives 0.34 eV per atom. For the size of the total moment, the calculation gives 0.0 μB per cell. The space group is P4/mmm, No. 123.

Lattice parameters (Å, degrees): 4.8934 4.8934 9.2465 90.00 90.00 90.00
Closest atoms and distances in Å follow each position.
Positions (direct):
Cs1 0.0000 0.0000 0.0000  4 I 3.46
B1 0.5000 0.5000 0.5000  4 Sb 2.45
Sb1 0.0000 0.5000 0.5000  2 B 2.45
Sb2 0.5000 0.0000 0.5000  2 B 2.45
I1 0.5000 0.5000 0.0000  4 Cs 3.46


7.
A plane-wave DFT calculation with PBE-GGA was carried out for a geometry-optimized Dy5ZrCd4 structure.

Calculated values
The total energy comes out at -37.46 eV for the cell shown. The value obtained for the energy of formation is -0.224 eV/atom. For the size of the total moment, the calculation gives 0.0 μB per cell. The space group is P4/mmm, No. 123.

Lattice parameters (Å, degrees): 3.5904 3.5904 20.5170 90.00 90.00 90.00
Closest atoms and distances in Å follow each position.
Positions (direct):
Dy1 0.0000 0.0000 0.0000  8 Cd 3.21, 4 Dy 3.59
Dy2 0.0000 0.0000 0.1930  8 Cd 3.22-3.25, 4 Dy 3.59
Dy3 0.0000 0.0000 0.3936  4 Cd 3.29, 4 Zr 3.35, 4 Dy 3.59
Dy4 0.0000 0.0000 0.6064  4 Cd 3.29, 4 Zr 3.35, 4 Dy 3.59
Dy5 0.0000 0.0000 0.8070  8 Cd 3.22-3.25, 4 Dy 3.59
Zr1 0.5000 0.5000 0.5000  8 Dy 3.35, 4 Zr 3.59
Cd1 0.5000 0.5000 0.0961  8 Dy 3.21-3.22, 4 Cd 3.59
Cd2 0.5000 0.5000 0.2916  8 Dy 3.25-3.29, 4 Cd 3.59
Cd3 0.5000 0.5000 0.7084  8 Dy 3.25-3.29, 4 Cd 3.59
Cd4 0.5000 0.5000 0.9039  8 Dy 3.21-3.22, 4 Cd 3.59


8.
A plane-wave DFT calculation with PBE-GGA was carried out for a geometry-optimized LaMgRu structure.

Calculated values
The total energy comes out at -65.54 eV for the cell shown. The value obtained for the energy of formation is -0.196 eV/atom. For the size of the total moment, the calculation gives 0.0 μB per cell. The space group is P2_1/c, No. 14.

Lattice parameters (Å, degrees): 6.5039 5.6746 8.0943 90.00 109.78 90.00
Closest atoms and distances in Å follow each position.
Positions (direct):
La1 0.1647 0.0803 0.3666  3 Ru 2.90-3.02
La2 0.1647 0.4197 0.8666  3 Ru 2.90-3.02
La3 0.8353 0.5803 0.1334  3 Ru 2.90-3.02
La4 0.8353 0.9197 0.6334  3 Ru 2.90-3.02
Mg1 0.4227 0.5897 0.3154  3 Ru 2.76-2.84, 1 Mg 2.99
Mg2 0.4227 0.9103 0.8154  3 Ru 2.76-2.84, 1 Mg 2.99
Mg3 0.5773 0.0897 0.1846  3 Ru 2.76-2.84, 1 Mg 2.99
Mg4 0.5773 0.4103 0.6846  3 Ru 2.76-2.84, 1 Mg 2.99
Ru1 0.1723 0.6332 0.5410  1 Ru 2.60, 3 Mg 2.76-2.84, 1 La 2.90
Ru2 0.1723 0.8668 0.0410  1 Ru 2.60, 3 Mg 2.76-2.84, 1 La 2.90
Ru3 0.8277 0.1332 0.9590  1 Ru 2.60, 3 Mg 2.76-2.84, 1 La 2.90
Ru4 0.8277 0.3668 0.4590  1 Ru 2.60, 3 Mg 2.76-2.84, 1 La 2.90


9.
A plane-wave DFT calculation with PBE-GGA was carried out for a geometry-optimized Ge2AuC structure.

Calculated values
The total energy comes out at -79.06 eV for the cell shown. The value obtained for the energy of formation is 0.493 eV/atom. For the size of the total moment, the calculation gives 0.0 μB per cell. The space group is I-42d, No. 122.

Lattice parameters (Å, degrees): 5.5302 5.5302 9.0653 90.00 90.00 90.00
Closest atoms and distances in Å follow each position.
Positions (direct):
Ge1 0.1742 0.2500 0.1250  2 C 2.03
Ge2 0.2500 0.6742 0.3750  2 C 2.03
Ge3 0.2500 0.8258 0.8750  2 C 2.03
Ge4 0.3258 0.2500 0.6250  2 C 2.03
Ge5 0.6742 0.7500 0.6250  2 C 2.03
Ge6 0.7500 0.1742 0.8750  2 C 2.03
Ge7 0.7500 0.3258 0.3750  2 C 2.03
Ge8 0.8258 0.7500 0.1250  2 C 2.03
Au1 0.0000 0.0000 0.5000  4 Ge 2.54
Au2 0.0000 0.5000 0.7500  4 Ge 2.54
Au3 0.5000 0.0000 0.2500  4 Ge 2.54
Au4 0.5000 0.5000 0.0000  4 Ge 2.54
C1 0.0000 0.0000 0.0000  4 Ge 2.03
C2 0.0000 0.5000 0.2500  4 Ge 2.03
C3 0.5000 0.0000 0.7500  4 Ge 2.03
C4 0.5000 0.5000 0.5000  4 Ge 2.03


10.
A plane-wave DFT calculation with PBE-GGA was carried out for a geometry-optimized Tl3CuAg2Br9 structure.

Calculated values
The total energy comes out at -39.05 eV for the cell shown. For the uncorrected formation energy, the calculation gives -0.47 eV per atom. For the size of the total moment, the calculation gives 0.0 μB per cell. The space group is P-3m1, No. 164.

Lattice parameters (Å, degrees): 7.5133 7.5133 9.2274 90.00 90.00 120.00
Closest atoms and distances in Å follow each position.
Positions (direct):
Tl1 0.0000 0.0000 0.0000  12 Br 3.76-3.78
Tl2 0.3333 0.6667 0.6656  12 Br 3.75-3.77
Tl3 0.6667 0.3333 0.3344  12 Br 3.75-3.77
Cu1 0.0000 0.0000 0.5000  6 Br 2.56
Ag1 0.3333 0.6667 0.1735  6 Br 2.70-2.72
Ag2 0.6667 0.3333 0.8265  6 Br 2.70-2.72
Br1 0.0000 0.5000 0.0000  2 Ag 2.70
Br2 0.1610 0.3219 0.3404  1 Cu 2.56, 1 Ag 2.72
Br3 0.1610 0.8390 0.3404  1 Cu 2.56, 1 Ag 2.72
Br4 0.3219 0.1610 0.6596  1 Cu 2.56, 1 Ag 2.72
Br5 0.5000 0.0000 0.0000  2 Ag 2.70
Br6 0.5000 0.5000 0.0000  2 Ag 2.70
Br7 0.6781 0.8390 0.3404  1 Cu 2.56, 1 Ag 2.72
Br8 0.8390 0.1610 0.6596  1 Cu 2.56, 1 Ag 2.72
Br9 0.8390 0.6781 0.6596  1 Cu 2.56, 1 Ag 2.72


11.
A plane-wave DFT calculation with PBE-GGA was carried out for a geometry-optimized Rb3MgBr5 structure.

Calculated values
The total energy comes out at -55.61 eV for the cell shown. For the uncorrected formation energy, the calculation gives -1.66 eV per atom. For the size of the total moment, the calculation gives 0.3 μB per cell. The space group is I4/mcm, No. 140.

Lattice parameters (Å, degrees): 10.2349 10.2349 10.2349 125.15 125.15 81.29
Closest atoms and distances in Å follow each position.
Positions (direct):
Rb1 0.1629 0.6629 0.8257  8 Br 3.45-3.75
Rb2 0.2500 0.2500 0.0000  10 Br 3.88-3.92
Rb3 0.3371 0.1629 0.5000  8 Br 3.45-3.75
Rb4 0.6629 0.8371 0.5000  8 Br 3.45-3.75
Rb5 0.7500 0.7500 0.0000  10 Br 3.88-3.92
Rb6 0.8371 0.3371 0.1743  8 Br 3.45-3.75
Mg1 0.2500 0.7500 0.5000  4 Br 2.50
Mg2 0.7500 0.2500 0.5000  4 Br 2.50
Br1 0.0000 0.0000 0.0000  6 Rb 3.53-3.88
Br2 0.0035 0.7981 0.5000  1 Mg 2.50
Br3 0.2019 0.7019 0.2055  1 Mg 2.50
Br4 0.2981 0.5035 0.5000  1 Mg 2.50
Br5 0.4965 0.9965 0.7945  1 Mg 2.50
Br6 0.5000 0.5000 0.0000  6 Rb 3.53-3.88
Br7 0.5035 0.0035 0.2055  1 Mg 2.50
Br8 0.7019 0.4965 0.5000  1 Mg 2.50
Br9 0.7981 0.2981 0.7945  1 Mg 2.50
Br10 0.9965 0.2019 0.5000  1 Mg 2.50


12.
A plane-wave DFT calculation with PBE-GGA was carried out for a geometry-optimized Li3Cu2PdO6 structure.

Calculated values
The total energy comes out at -61.27 eV for the cell shown. For the uncorrected formation energy, the calculation gives -1.03 eV per atom. For the size of the total moment, the calculation gives 0.7 μB per cell. The space group is C2/m, No. 12.

Lattice parameters (Å, degrees): 5.1419 5.1419 5.3651 103.42 103.42 115.02
Closest atoms and distances in Å follow each position.
Positions (direct):
Li1 0.0000 0.0000 0.0000  4 O 2.17
Li2 0.3234 0.6766 0.0000  6 O 2.05-2.26
Li3 0.6766 0.3234 0.0000  6 O 2.05-2.26
Cu1 0.1697 0.8303 0.5000  4 O 1.93-1.95
Cu2 0.8303 0.1697 0.5000  4 O 1.93-1.95
Pd1 0.5000 0.5000 0.5000  6 O 2.02-2.09
O1 0.1170 0.4624 0.2453  1 Cu 1.93, 1 Pd 2.02, 2 Li 2.05-2.10
O2 0.2409 0.2409 0.6908  2 Cu 1.95, 1 Pd 2.09
O3 0.4624 0.1170 0.2453  1 Cu 1.93, 1 Pd 2.02, 2 Li 2.05-2.10
O4 0.5376 0.8830 0.7547  1 Cu 1.93, 1 Pd 2.02, 2 Li 2.05-2.10
O5 0.7591 0.7591 0.3092  2 Cu 1.95, 1 Pd 2.09
O6 0.8830 0.5376 0.7547  1 Cu 1.93, 1 Pd 2.02, 2 Li 2.05-2.10